No. 1
{"formula": "BeSbC2", "functional": "SCAN", "state": "single point on PBEsol structure", "e_tot_ev_per_atom": -14.43, "crystal_system": "tetragonal", "lattice": [[4.4761, 0.0000, 0.0000], [0.0000, 4.4761, 0.0000], [-2.2381, -2.2381, 4.7969]], "species": ["Sb", "Sb", "C", "C", "C", "C", "Be", "Be"], "fractional_positions": [[0.2500, 0.7500, 0.5000], [0.0000, 0.0000, 0.0000], [0.4269, 0.8750, 0.2500], [0.8231, 0.3750, 0.2500], [0.1250, 0.1769, 0.7500], [0.6250, 0.5731, 0.7500], [0.7500, 0.2500, 0.5000], [0.5000, 0.5000, 0.0000]]}



No. 2
{"formula": "MnTeSO2", "functional": "SCAN", "state": "single point on PBEsol structure", "e_tot_ev_per_atom": -16.06, "crystal_system": "tetragonal", "lattice": [[3.9797, 0.0000, 0.0000], [0.0000, 3.9797, 0.0000], [0.0000, 0.0000, 5.3433]], "species": ["S", "Te", "O", "O", "Mn"], "fractional_positions": [[0.0000, 0.0000, 0.5000], [0.0000, 0.0000, 0.0000], [0.0000, 0.5000, 0.0000], [0.5000, 0.0000, 0.0000], [0.5000, 0.5000, 0.5000]]}



No. 3
{"formula": "HfGeRh", "functional": "SCAN", "state": "single point on PBEsol structure", "delta_e_f_mev_per_atom": -1025, "crystal_system": "orthorhombic", "lattice": [[3.9446, 0.0000, 0.0000], [0.0000, 6.4849, 0.0000], [0.0000, 0.0000, 7.5008]], "species": ["Rh", "Rh", "Rh", "Rh", "Ge", "Ge", "Ge", "Ge", "Hf", "Hf", "Hf", "Hf"], "fractional_positions": [[0.2500, 0.3533, 0.9338], [0.2500, 0.8533, 0.5662], [0.7500, 0.1467, 0.4338], [0.7500, 0.6467, 0.0662], [0.2500, 0.7371, 0.8838], [0.2500, 0.2371, 0.6162], [0.7500, 0.7629, 0.3838], [0.7500, 0.2629, 0.1162], [0.7500, 0.0240, 0.8088], [0.7500, 0.5240, 0.6912], [0.2500, 0.4760, 0.3088], [0.2500, 0.9760, 0.1912]]}



No. 4
{"formula": "FeP4O12", "functional": "SCAN", "state": "single point on PBEsol structure", "polymorph_energy_ev_per_fu": 0.00, "crystal_system": "orthorhombic", "lattice": [[9.0708, 0.0000, 0.0000], [0.0000, 9.2782, 0.0000], [0.0000, 0.0000, 10.3172]], "species": ["Fe", "Fe", "Fe", "Fe", "P", "P", "P", "P", "P", "P", "P", "P", "P", "P", "P", "P", "P", "P", "P", "P", "O", "O", "O", "O", "O", "O", "O", "O", "O", "O", "O", "O", "O", "O", "O", "O", "O", "O", "O", "O", "O", "O", "O", "O", "O", "O", "O", "O", "O", "O", "O", "O", "O", "O", "O", "O", "O", "O", "O", "O", "O", "O", "O", "O", "O", "O", "O", "O"], "fractional_positions": [[0.7500, 0.9872, 0.7900], [0.2500, 0.5128, 0.2900], [0.7500, 0.4872, 0.7100], [0.2500, 0.0128, 0.2100], [0.2500, 0.7992, 0.6125], [0.4497, 0.7888, 0.3896], [0.0503, 0.7888, 0.3896], [0.7500, 0.7657, 0.5151], [0.2500, 0.7343, 0.0151], [0.9497, 0.7112, 0.8896], [0.5503, 0.7112, 0.8896], [0.7500, 0.7008, 0.1125], [0.2500, 0.2992, 0.8875], [0.4497, 0.2888, 0.1104], [0.0503, 0.2888, 0.1104], [0.7500, 0.2657, 0.9849], [0.2500, 0.2343, 0.4849], [0.9497, 0.2112, 0.6104], [0.5503, 0.2112, 0.6104], [0.7500, 0.2008, 0.3875], [0.4106, 0.8936, 0.2843], [0.0894, 0.8936, 0.2843], [0.2500, 0.8906, 0.0515], [0.2500, 0.8869, 0.7343], [0.7500, 0.8740, 0.6225], [0.9046, 0.8653, 0.8687], [0.5954, 0.8653, 0.8687], [0.3876, 0.8473, 0.5253], [0.1124, 0.8473, 0.5253], [0.7500, 0.8594, 0.1411], [0.8798, 0.8016, 0.4155], [0.6202, 0.8016, 0.4155], [0.3798, 0.6984, 0.9155], [0.1202, 0.6984, 0.9155], [0.2500, 0.6406, 0.6411], [0.8876, 0.6527, 0.0253], [0.6124, 0.6527, 0.0253], [0.4046, 0.6347, 0.3687], [0.0954, 0.6347, 0.3687], [0.2500, 0.6260, 0.1225], [0.7500, 0.6131, 0.2343], [0.7500, 0.6093, 0.5515], [0.9106, 0.6064, 0.7843], [0.5894, 0.6064, 0.7843], [0.4106, 0.3936, 0.2157], [0.0894, 0.3936, 0.2157], [0.2500, 0.3906, 0.4485], [0.2500, 0.3869, 0.7657], [0.7500, 0.3740, 0.8775], [0.9046, 0.3653, 0.6313], [0.5954, 0.3653, 0.6313], [0.3876, 0.3473, 0.9747], [0.1124, 0.3473, 0.9747], [0.7500, 0.3594, 0.3589], [0.8798, 0.3016, 0.0845], [0.6202, 0.3016, 0.0845], [0.3798, 0.1984, 0.5845], [0.1202, 0.1984, 0.5845], [0.2500, 0.1406, 0.8589], [0.8876, 0.1527, 0.4747], [0.6124, 0.1527, 0.4747], [0.4046, 0.1347, 0.1313], [0.0954, 0.1347, 0.1313], [0.2500, 0.1260, 0.3775], [0.7500, 0.1131, 0.2657], [0.7500, 0.1094, 0.9485], [0.9106, 0.1064, 0.7157], [0.5894, 0.1064, 0.7157]]}